The following is a PBE calculation of an optimized crystal structure of Li6Ge2Pd, from Alexandria via LeMat-Bulk.

Formation enthalpy at 0 K (kJ/mol of atoms): -28
Calculated volume (Å³/atom): 16.252
Final energy (eV/cell): -56.99
Excess energy over the best structure of this formula in the dataset (eV/atom): 0.072

a = 12.371 Å, b = 4.938 Å, c = 4.789 Å
α = 90.00°, β = 90.24°, γ = 90.00°
Space group C2/m (No. 12)
One atom of each set of equivalent atoms:
1 Li 0.098 0.240 0.106 x8
2 Li 0.206 0.500 0.608 x4
3 Ge 0.098 0.000 0.615 x4
4 Pd 0.000 0.500 0.500 x2